Run 1
PBE Nb4TcMo, optimized geometry; SG = C2/m, No. 12; crystal system = monoclinic; density = 7.77 Mg/m³
1.0
3.112 -3.112 0.000
3.112 3.112 0.000
-0.008 0.000 6.239
Nb Tc Mo
4 1 1
Cartesian
4.665 -1.555 1.549 Nb
1.551 1.555 4.690 Nb
4.665 1.555 1.549 Nb
1.551 -1.555 4.690 Nb
0.000 0.000 0.000 Tc
3.108 0.000 3.119 Mo

---

Run 2
PBE Nb4TcMo, optimized geometry; SG = P4/mmm, No. 123; crystal system = tetragonal; density = 9.16 Mg/m³
1.0
3.233 0.000 0.000
0.000 3.233 0.000
0.000 0.000 9.809
Nb Tc Mo
4 1 1
Cartesian
0.000 0.000 1.573 Nb
0.000 0.000 8.237 Nb
1.616 1.616 3.310 Nb
1.616 1.616 6.500 Nb
1.616 1.616 0.000 Tc
0.000 0.000 4.905 Mo

---

Which one sits at the top of the stability order? run 2 does.

---

Run 1
PBE TiNbTcMo, optimized geometry; SG = Pmm2, No. 25; crystal system = orthorhombic; density = 8.05 Mg/m³
1.0
2.937 0.000 0.000
0.000 3.025 0.000
0.000 0.000 7.771
Ti Nb Tc Mo
1 1 1 1
Cartesian
0.000 0.000 0.000 Ti
0.000 0.000 3.301 Nb
1.469 1.513 1.569 Tc
0.000 1.513 5.584 Mo

---

Run 2
PBE TiNbTcMo, optimized geometry; SG = F-43m, No. 216; crystal system = cubic; density = 8.68 Mg/m³
1.0
0.000 3.176 3.176
3.176 0.000 3.176
3.176 3.176 0.000
Ti Nb Tc Mo
1 1 1 1
Cartesian
0.000 0.000 0.000 Ti
3.176 3.176 3.176 Nb
1.588 1.588 1.588 Tc
4.764 4.764 4.764 Mo

---

Which one sits at the top of the stability order? run 2 does.

---

Run 1
PBE NbTcMoW, optimized geometry; SG = Pmmm, No. 47; crystal system = orthorhombic; density = 12.14 Mg/m³
1.0
3.180 0.000 0.000
0.000 4.497 0.000
0.000 0.000 4.503
Nb Tc Mo W
1 1 1 1
Cartesian
0.000 0.000 0.000 Nb
1.590 2.248 0.000 Tc
1.590 0.000 2.252 Mo
0.000 2.248 2.252 W

---

Run 2
PBE NbTcMoW, optimized geometry; SG = F-43m, No. 216; crystal system = cubic; density = 12.16 Mg/m³
1.0
0.000 3.179 3.179
3.179 0.000 3.179
3.179 3.179 0.000
Nb Tc Mo W
1 1 1 1
Cartesian
0.000 0.000 0.000 Nb
1.590 1.590 1.590 Tc
4.769 4.769 4.769 Mo
3.179 3.179 3.179 W

---

Which one sits at the top of the stability order? run 2 does.

---

Run 1
PBE NbTe4Mo, optimized geometry; SG = Cm, No. 8; crystal system = monoclinic; density = 6.96 Mg/m³
1.0
7.545 -1.796 0.000
7.545 1.796 0.000
-0.856 0.000 6.158
Nb Te Mo
1 4 1
Cartesian
0.000 0.000 0.000 Nb
1.526 0.000 2.338 Te
5.543 0.000 0.796 Te
8.694 0.000 5.373 Te
12.704 0.000 3.827 Te
7.117 0.000 3.088 Mo

---

Run 2
PBE NbTe4Mo, optimized geometry; SG = C2/c, No. 15; crystal system = monoclinic; density = 6.10 Mg/m³
1.0
3.451 -10.193 0.000
3.451 10.193 0.000
-3.450 0.000 5.409
Nb Te Mo
2 8 2
Cartesian
0.864 8.686 4.057 Nb
2.589 -8.686 1.352 Nb
-0.864 6.791 4.980 Te
-0.781 0.689 4.116 Te
0.943 -0.689 1.411 Te
2.592 6.791 3.134 Te
0.861 -6.791 2.276 Te
2.510 0.689 3.998 Te
4.235 -0.689 1.293 Te
4.317 -6.791 0.429 Te
2.589 1.571 1.352 Mo
0.864 -1.571 4.057 Mo

---

Which one sits at the top of the stability order? run 1 does.

---

Run 1
PBE TiNbMo, optimized geometry; SG = F-43m, No. 216; crystal system = cubic; density = 7.19 Mg/m³
1.0
0.000 4.781 4.781
4.781 0.000 4.781
4.781 4.781 0.000
Ti Nb Mo
4 4 4
Cartesian
0.987 0.987 0.987 Ti
3.794 3.794 0.987 Ti
3.794 0.987 3.794 Ti
0.987 3.794 3.794 Ti
6.187 3.375 3.375 Nb
3.375 6.187 3.375 Nb
3.375 3.375 6.187 Nb
6.187 6.187 6.187 Nb
3.548 3.548 3.548 Mo
6.014 6.014 3.548 Mo
6.014 3.548 6.014 Mo
3.548 6.014 6.014 Mo

---

Run 2
PBE TiNbMo, optimized geometry; SG = P3m1, No. 156; crystal system = trigonal; density = 7.79 Mg/m³
1.0
4.527 0.000 0.000
-2.264 3.921 0.000
0.000 0.000 2.844
Ti Nb Mo
1 1 1
Cartesian
0.000 0.000 0.000 Ti
0.000 2.614 1.743 Nb
2.264 1.307 0.925 Mo

---

Which one sits at the top of the stability order? run 2 does.

---

Run 1
PBE Ti2NbMo4, optimized geometry; SG = Cmmm, No. 65; crystal system = orthorhombic; density = 8.08 Mg/m³
1.0
1.617 -11.580 0.000
1.617 11.580 0.000
0.000 0.000 3.143
Ti Nb Mo
2 1 4
Cartesian
1.617 6.894 0.000 Ti
1.617 -6.894 0.000 Ti
1.617 0.000 1.571 Nb
1.617 9.929 0.000 Mo
1.617 3.201 1.571 Mo
1.617 -3.201 1.571 Mo
1.617 -9.929 0.000 Mo

---

Run 2
PBE Ti2NbMo4, optimized geometry; SG = P2/m, No. 10; crystal system = monoclinic; density = 7.68 Mg/m³
1.0
5.340 0.000 0.000
0.000 4.384 0.000
-0.838 0.000 5.284
Ti Nb Mo
2 1 4
Cartesian
0.416 0.000 1.391 Ti
4.086 0.000 3.893 Ti
2.251 2.192 2.642 Nb
0.452 2.192 5.146 Mo
1.425 0.000 4.013 Mo
3.077 0.000 1.271 Mo
4.050 2.192 0.137 Mo

---

Which one sits at the top of the stability order? run 1 does.

---

Run 1
PBE Ti2Nb4Mo, optimized geometry; SG = Cmmm, No. 65; crystal system = orthorhombic; density = 7.36 Mg/m³
1.0
2.442 -9.643 0.000
2.442 9.643 0.000
0.000 0.000 2.700
Ti Nb Mo
2 4 1
Cartesian
2.442 5.604 0.000 Ti
2.442 -5.604 0.000 Ti
2.442 8.202 1.350 Nb
2.442 2.714 0.000 Nb
2.442 -2.714 0.000 Nb
2.442 -8.202 1.350 Nb
2.442 0.000 1.350 Mo

---

Run 2
PBE Ti2Nb4Mo, optimized geometry; SG = P-1, No. 2; crystal system = triclinic; density = 7.54 Mg/m³
1.0
2.825 0.000 0.000
-0.581 7.147 0.000
-0.910 -3.611 6.144
Ti Nb Mo
2 4 1
Cartesian
0.072 1.322 0.482 Ti
1.262 2.215 5.663 Ti
-0.167 -0.223 4.784 Nb
0.036 4.277 4.009 Nb
1.298 -0.741 2.135 Nb
1.501 3.760 1.360 Nb
-0.746 1.768 3.072 Mo

---

Which one sits at the top of the stability order? run 2 does.

---

Run 1
PBE Ti5Nb2Mo4, optimized geometry; SG = Immm, No. 71; crystal system = orthorhombic; density = 6.85 Mg/m³
1.0
-1.434 3.491 9.791
1.434 -3.491 9.791
1.434 3.491 -9.791
Ti Nb Mo
5 2 4
Cartesian
0.000 0.000 0.000 Ti
1.434 1.329 -2.676 Ti
1.434 1.329 2.676 Ti
0.000 2.162 7.115 Ti
0.000 2.162 12.468 Ti
1.434 0.000 5.102 Nb
0.000 3.491 4.689 Nb
1.434 2.274 0.000 Mo
1.434 0.000 7.583 Mo
0.000 3.491 2.209 Mo
0.000 1.218 9.791 Mo

---

Run 2
PBE Ti5Nb2Mo4, optimized geometry; SG = P-1, No. 2; crystal system = triclinic; density = 7.33 Mg/m³
1.0
2.854 0.000 0.000
-0.857 6.756 0.000
-0.652 -0.559 9.508
Ti Nb Mo
5 2 4
Cartesian
0.000 0.000 0.000 Ti
-0.729 5.168 4.350 Ti
0.969 0.599 2.602 Ti
0.376 5.598 6.906 Ti
2.074 1.028 5.158 Ti
0.332 1.402 7.759 Nb
1.013 4.794 1.749 Nb
-0.620 3.773 8.680 Mo
0.144 2.877 3.444 Mo
1.201 3.320 6.064 Mo
1.965 2.423 0.828 Mo

---

Which one sits at the top of the stability order? run 2 does.